# 1
First-principles (GGA-PBE) data for a geometry-optimized Sm12Cd5Ru3 structure, as listed in the Alexandria database.

The space group is Ia-3d (No. 230) and the conventional cell measures 17.437, 17.437 and 17.437 Å, with angles of 90.00, 90.00 and 90.00 degrees. The asymmetric unit holds Sm at (0.018, 0.090, 0.648), Cd at (0.000, 0.000, 0.000), Cd at (0.000, 0.250, 0.375) and Ru at (0.000, 0.250, 0.125).

The energy relative to the elements is 0.259 eV/atom.

=====

# 2
First-principles (GGA-PBE) data for a geometry-optimized SmNpAl2O8 structure, as listed in the Alexandria database.

The space group is C2/m (No. 12) and the conventional cell measures 7.242, 6.051 and 7.294 Å, with angles of 90.00, 90.16 and 90.00 degrees. The asymmetric unit holds Sm at (0.000, 0.000, 0.000), Np at (0.000, 0.000, 0.500), Al at (0.001, 0.500, 0.181), O at (0.000, 0.227, 0.269), O at (0.174, 0.500, 0.000) and O at (0.249, 0.500, 0.499).

The value obtained for the energy relative to the elements, uncorrected is -2810 meV per atom.

=====

# 3
First-principles (GGA-PBE) data for a geometry-optimized AlCr structure, as listed in the Alexandria database.

The space group is P6_3/mmc (No. 194) and the conventional cell measures 4.2063, 4.2063 and 4.3947 Å, with angles of 90.00, 90.00 and 120.00 degrees. The asymmetric unit holds Al at (0.3333, 0.6667, 0.2500) and Cr at (0.0000, 0.0000, 0.0000).

The energy relative to the elements is 0.611 eV/atom.

=====

# 4
First-principles (GGA-PBE) data for a geometry-optimized PuGe4Au8 structure, as listed in the Alexandria database.

The space group is F-43m (No. 216) and the conventional cell measures 10.577, 10.577 and 10.577 Å, with angles of 90.00, 90.00 and 90.00 degrees. The asymmetric unit holds Pu at (0.000, 0.000, 0.000), Ge at (0.102, 0.102, 0.602), Au at (0.151, 0.151, 0.849) and Au at (0.152, 0.152, 0.348).

The energy relative to the elements is 0.173 eV/atom.

=====

# 5
First-principles (GGA-PBE) data for a geometry-optimized TiVGaPd structure, as listed in the Alexandria database.

The space group is F-43m (No. 216) and the conventional cell measures 6.224, 6.224 and 6.224 Å, with angles of 90.00, 90.00 and 90.00 degrees. The asymmetric unit holds Ti at (0.000, 0.000, 0.000), V at (0.250, 0.250, 0.250), Ga at (0.000, 0.000, 0.500) and Pd at (0.250, 0.250, 0.750).

The energy relative to the elements is -0.307 eV/atom.

=====

# 6
First-principles (GGA-PBE) data for a geometry-optimized BaVAsSe2 structure, as listed in the Alexandria database.

The space group is P4/mmm (No. 123) and the conventional cell measures 5.080, 5.080 and 4.787 Å, with angles of 90.00, 90.00 and 90.00 degrees. The asymmetric unit holds Ba at (0.000, 0.000, 0.000), V at (0.500, 0.500, 0.500), As at (0.500, 0.500, 0.000) and Se at (0.000, 0.500, 0.500).

The value obtained for the energy relative to the elements, uncorrected is -833 meV per atom. The distance to the lowest polymorph of the same formula comes out at 0 meV/atom.

=====

# 7
First-principles (GGA-PBE) data for a geometry-optimized ThMnMo2C4 structure, as listed in the Alexandria database.

The space group is Cmcm (No. 63) and the conventional cell measures 3.286, 11.009 and 10.582 Å, with angles of 90.00, 90.00 and 90.00 degrees. The asymmetric unit holds Th at (0.000, 0.098, 0.250), Mn at (0.000, 0.165, 0.750), Mo at (0.000, 0.375, 0.042), C at (0.000, 0.000, 0.000), C at (0.000, 0.267, 0.614) and C at (0.000, 0.421, 0.250).

The energy relative to the elements is -0.046 eV/atom.

=====

# 8
First-principles (GGA-PBE) data for a geometry-optimized La3Sc2Cd3 structure, as listed in the Alexandria database.

The space group is Immm (No. 71) and the conventional cell measures 3.715, 5.546 and 22.337 Å, with angles of 90.00, 90.00 and 90.00 degrees. The asymmetric unit holds La at (0.000, 0.000, 0.000), La at (0.000, 0.500, 0.127), Sc at (0.000, 0.000, 0.239), Cd at (0.000, 0.000, 0.500) and Cd at (0.000, 0.500, 0.366).

The energy relative to the elements is -0.201 eV/atom.

=====

# 9
First-principles (GGA-PBE) data for a geometry-optimized RbFe2ReI structure, as listed in the Alexandria database.

The space group is P4/mmm (No. 123) and the conventional cell measures 4.824, 4.824 and 5.777 Å, with angles of 90.00, 90.00 and 90.00 degrees. The asymmetric unit holds Rb at (0.000, 0.000, 0.000), Fe at (0.000, 0.500, 0.000), Re at (0.000, 0.000, 0.500) and I at (0.500, 0.500, 0.500).

The value obtained for the energy relative to the elements, uncorrected is 3066 meV per atom.

=====

# 10
First-principles (GGA-PBE) data for a geometry-optimized ErTlCdBr6 structure, as listed in the Alexandria database.

The space group is P-31c (No. 163) and the conventional cell measures 7.2604, 7.2604 and 14.6098 Å, with angles of 90.00, 90.00 and 120.00 degrees. The asymmetric unit holds Er at (0.3333, 0.6667, 0.2500), Tl at (0.0000, 0.0000, 0.0000), Cd at (0.3333, 0.6667, 0.7500) and Br at (0.0027, 0.3719, 0.1394).

The value obtained for the energy relative to the elements, uncorrected is -1312 meV per atom.

=====

# 11
First-principles (GGA-PBE) data for a geometry-optimized Ac2ScSn3Au4 structure, as listed in the Alexandria database.

The space group is P-4m2 (No. 115) and the conventional cell measures 4.678, 4.678 and 11.705 Å, with angles of 90.00, 90.00 and 90.00 degrees. The asymmetric unit holds Ac at (0.000, 0.500, 0.231), Sc at (0.000, 0.000, 0.500), Sn at (0.000, 0.500, 0.868), Sn at (0.500, 0.500, 0.500), Au at (0.000, 0.000, 0.000), Au at (0.000, 0.500, 0.636) and Au at (0.500, 0.500, 0.000).

The energy relative to the elements is -0.683 eV/atom.

=====

# 12
First-principles (GGA-PBE) data for a geometry-optimized MnSi2Br structure, as listed in the Alexandria database.

The space group is P4/mmm (No. 123) and the conventional cell measures 4.895, 4.895 and 2.928 Å, with angles of 90.00, 90.00 and 90.00 degrees. The asymmetric unit holds Mn at (0.000, 0.000, 0.000), Si at (0.000, 0.500, 0.500) and Br at (0.500, 0.500, 0.000).

The value obtained for the energy relative to the elements, uncorrected is 653 meV per atom. The distance to the lowest polymorph of the same formula comes out at 610 meV/atom.

=====

# 13
First-principles (GGA-PBE) data for a geometry-optimized CeTmGa2 structure, as listed in the Alexandria database.

The space group is P4/mmm (No. 123) and the conventional cell measures 3.379, 3.379 and 7.908 Å, with angles of 90.00, 90.00 and 90.00 degrees. The asymmetric unit holds Ce at (0.000, 0.000, 0.000), Tm at (0.000, 0.000, 0.500) and Ga at (0.500, 0.500, 0.260).

The energy relative to the elements is -0.533 eV/atom.

=====

# 14
First-principles (GGA-PBE) data for a geometry-optimized HoScCu2Si2 structure, as listed in the Alexandria database.

The space group is P-3m1 (No. 164) and the conventional cell measures 4.1135, 4.1135 and 7.0170 Å, with angles of 90.00, 90.00 and 120.00 degrees. The asymmetric unit holds Ho at (0.0000, 0.0000, 0.0000), Sc at (0.0000, 0.0000, 0.5000), Cu at (0.3333, 0.6667, 0.7196) and Si at (0.3333, 0.6667, 0.2662).

The value obtained for the energy relative to the elements, uncorrected is -656 meV per atom.

=====

# 15
First-principles (GGA-PBE) data for a geometry-optimized La12TlNi6 structure, as listed in the Alexandria database.

The space group is Im-3 (No. 204) and the conventional cell measures 10.252, 10.252 and 10.252 Å, with angles of 90.00, 90.00 and 90.00 degrees. The asymmetric unit holds La at (0.000, 0.182, 0.311), Tl at (0.000, 0.000, 0.000) and Ni at (0.000, 0.375, 0.500).

The energy relative to the elements is -0.294 eV/atom.

=====

# 16
First-principles (GGA-PBE) data for a geometry-optimized Sc4IrRu structure, as listed in the Alexandria database.

The space group is P4/mmm (No. 123) and the conventional cell measures 3.200, 3.200 and 11.855 Å, with angles of 90.00, 90.00 and 90.00 degrees. The asymmetric unit holds Sc at (0.000, 0.000, 0.130), Sc at (0.500, 0.500, 0.364), Ir at (0.000, 0.000, 0.500) and Ru at (0.500, 0.500, 0.000).

The energy relative to the elements is -0.575 eV/atom. The distance to the lowest polymorph of the same formula comes out at 0 meV/atom.

=====

# 17
First-principles (GGA-PBE) data for a geometry-optimized TmLu2Pa structure, as listed in the Alexandria database.

The space group is Fm-3m (No. 225) and the conventional cell measures 7.716, 7.716 and 7.716 Å, with angles of 90.00, 90.00 and 90.00 degrees. The asymmetric unit holds Tm at (0.000, 0.000, 0.000), Lu at (0.250, 0.250, 0.250) and Pa at (0.000, 0.000, 0.500).

The energy relative to the elements is 0.284 eV/atom. The distance to the lowest polymorph of the same formula comes out at 169 meV/atom.